A plane-wave DFT calculation with PBE-GGA was carried out for crystalline Nd4Ho5Sc2 at its relaxed geometry.

abc: 4.9994 7.8992 9.3554
angles: 75.29 105.50 90.00
Last column: nearest neighbours and their distance in Å.
Element x y z (fractional)
Nd (0.9561, 0.7227, 0.9122)  3 Nd 3.46-3.56, 5 Ho 3.49-3.60, 4 Sc 3.50-3.53
Ho (0.8645, 0.1870, 0.7291)  5 Ho 3.45-3.55, 5 Nd 3.49-3.60, 2 Sc 3.50
Ho (0.5000, 0.0000, 0.0000)  2 Sc 3.52, 4 Ho 3.53, 6 Nd 3.55-3.56
Sc (0.4097, 0.4527, 0.8193)  6 Ho 3.50-3.53, 5 Nd 3.50-3.53, 1 Sc 3.53
Ho (0.7734, 0.6297, 0.5467)  5 Ho 3.45-3.55, 3 Sc 3.53, 4 Nd 3.54-3.61
Sc (0.5903, 0.5473, 0.1807)  6 Ho 3.50-3.53, 5 Nd 3.50-3.53, 1 Sc 3.53
Nd (0.3177, 0.9055, 0.6353)  1 Sc 3.52, 4 Nd 3.54-3.56, 7 Ho 3.54-3.61
Nd (0.6823, 0.0945, 0.3647)  1 Sc 3.52, 4 Nd 3.54-3.56, 7 Ho 3.54-3.61
Ho (0.1355, 0.8130, 0.2709)  5 Ho 3.45-3.55, 5 Nd 3.49-3.60, 2 Sc 3.50
Nd (0.0439, 0.2773, 0.0878)  3 Nd 3.46-3.56, 5 Ho 3.49-3.60, 4 Sc 3.50-3.53
Ho (0.2266, 0.3703, 0.4533)  5 Ho 3.45-3.55, 3 Sc 3.53, 4 Nd 3.54-3.61

Output
energy relative to the lowest polymorph listed for this composition: 0 meV/atom
symmetry: C2/m (12)


A plane-wave DFT calculation with PBE-GGA was carried out for crystalline NdHo5Sc6 at its relaxed geometry.

abc: 11.1383 5.9280 5.9242
angles: 59.98 84.93 79.83
Last column: nearest neighbours and their distance in Å.
Element x y z (fractional)
Ho (0.0000, 0.3334, 0.3333)  6 Sc 3.39, 3 Ho 3.42, 3 Nd 3.42
Nd (0.0000, 0.0000, 0.0000)  6 Sc 3.39, 6 Ho 3.42
Sc (0.2512, 0.5830, 0.3337)  5 Ho 3.37-3.39, 1 Nd 3.39, 6 Sc 3.42-3.43
Ho (0.5000, 0.5000, 0.0000)  6 Sc 3.36-3.37, 6 Ho 3.42
Ho (0.0000, 0.6666, 0.6667)  6 Sc 3.39, 3 Ho 3.42, 3 Nd 3.42
Ho (0.5000, 0.1667, 0.6666)  6 Sc 3.37, 6 Ho 3.42
Sc (0.7488, 0.7495, 0.0000)  5 Ho 3.36-3.39, 1 Nd 3.39, 6 Sc 3.42-3.43
Ho (0.5000, 0.8333, 0.3334)  6 Sc 3.37, 6 Ho 3.42
Sc (0.2512, 0.2505, 0.0000)  5 Ho 3.36-3.39, 1 Nd 3.39, 6 Sc 3.42-3.43
Sc (0.7488, 0.4170, 0.6663)  5 Ho 3.37-3.39, 1 Nd 3.39, 6 Sc 3.42-3.43
Sc (0.2512, 0.9167, 0.6663)  5 Ho 3.37-3.39, 1 Nd 3.39, 6 Sc 3.42-3.43
Sc (0.7488, 0.0833, 0.3337)  5 Ho 3.37-3.39, 1 Nd 3.39, 6 Sc 3.42-3.43

Output
symmetry: C2/m (12)


A plane-wave DFT calculation with PBE-GGA was carried out for crystalline NdHo2Sc5 at its relaxed geometry.

abc: 6.7072 6.7072 6.7072
angles: 91.99 118.86 118.86
Last column: nearest neighbours and their distance in Å.
Element x y z (fractional)
Ho (0.5000, 0.7777, 0.2777)  10 Sc 3.35-3.41, 2 Nd 3.41
Sc (0.0000, 0.2780, 0.7775)  6 Sc 3.35-3.41, 2 Nd 3.35, 4 Ho 3.35
Nd (0.0000, 0.7781, 0.7781)  8 Sc 3.35, 4 Ho 3.41
Ho (0.5000, 0.2777, 0.7777)  10 Sc 3.35-3.41, 2 Nd 3.41
Sc (0.0000, 0.7775, 0.2780)  6 Sc 3.35-3.41, 2 Nd 3.35, 4 Ho 3.35
Sc (0.5006, 0.2780, 0.2780)  6 Sc 3.35-3.41, 2 Nd 3.35, 4 Ho 3.35
Sc (0.4994, 0.7775, 0.7775)  6 Sc 3.35-3.41, 2 Nd 3.35, 4 Ho 3.35
Sc (0.0000, 0.2774, 0.2774)  8 Sc 3.35, 4 Ho 3.41

Output
symmetry: I4mm (107)


A plane-wave DFT calculation with PBE-GGA was carried out for crystalline NdHo3Sc2 at its relaxed geometry.

abc: 5.4580 8.6322 8.6322
angles: 111.53 90.00 90.00
Last column: nearest neighbours and their distance in Å.
Element x y z (fractional)
Ho (0.9930, 0.0948, 0.0948)  3 Nd 3.21-3.53, 4 Ho 3.29-3.42, 2 Sc 3.40
Ho (0.9930, 0.3680, 0.8905)  2 Sc 3.08-3.29, 1 Ho 3.42
Sc (0.4930, 0.4850, 0.6991)  3 Sc 3.06-3.26, 3 Ho 3.08-3.40, 2 Nd 3.41
Nd (0.4930, 0.2687, 0.2687)  3 Ho 3.21-3.53, 6 Sc 3.41-3.49
Sc (0.4930, 0.6991, 0.4850)  3 Sc 3.06-3.26, 3 Ho 3.08-3.40, 2 Nd 3.41
Ho (0.4930, 0.9052, 0.9052)  3 Nd 3.21-3.53, 4 Ho 3.29-3.42, 2 Sc 3.40
Ho (0.4930, 0.6320, 0.1095)  2 Sc 3.08-3.29, 1 Ho 3.42
Nd (0.9930, 0.7313, 0.7313)  3 Ho 3.21-3.53, 6 Sc 3.41-3.49
Sc (0.9930, 0.3009, 0.5150)  3 Sc 3.06-3.26, 3 Ho 3.08-3.40, 2 Nd 3.41
Ho (0.4930, 0.1095, 0.6320)  2 Sc 3.08-3.29, 1 Ho 3.42
Ho (0.9930, 0.8905, 0.3680)  2 Sc 3.08-3.29, 1 Ho 3.42
Sc (0.9930, 0.5150, 0.3009)  3 Sc 3.06-3.26, 3 Ho 3.08-3.40, 2 Nd 3.41

Output
symmetry: Cmcm (63)


A plane-wave DFT calculation with PBE-GGA was carried out for crystalline Nd3Ho6Sc at its relaxed geometry.

abc: 6.2481 10.8921 10.8921
angles: 119.79 90.00 90.00
Last column: nearest neighbours and their distance in Å.
Element x y z (fractional)
Ho (0.5465, 0.6193, 0.7113)  4 Nd 3.39-3.71, 5 Ho 3.40-3.76
Nd (0.9571, 0.7183, 0.9444)  1 Sc 3.23, 6 Ho 3.29-3.58
Ho (0.5465, 0.2887, 0.3807)  4 Nd 3.39-3.71, 5 Ho 3.40-3.76
Nd (0.0680, 0.3873, 0.6127)  7 Ho 3.41-3.78, 1 Sc 3.50, 2 Nd 3.69
Ho (0.6349, 0.2770, 0.7230)  4 Ho 3.18-3.37, 2 Sc 3.39-3.45, 1 Nd 3.41
Ho (0.8702, 0.4623, 0.0423)  5 Ho 3.18-3.47, 2 Sc 3.20-3.50, 2 Nd 3.29-3.49
Nd (0.4571, 0.2817, 0.0556)  1 Sc 3.23, 6 Ho 3.29-3.58
Ho (0.4052, 0.9539, 0.0461)  1 Sc 3.27, 4 Nd 3.53-3.58, 2 Ho 3.57
Ho (0.8702, 0.9577, 0.5377)  5 Ho 3.18-3.47, 2 Sc 3.20-3.50, 2 Nd 3.29-3.49
Nd (0.5680, 0.6127, 0.3873)  7 Ho 3.41-3.78, 1 Sc 3.50, 2 Nd 3.69
Sc (0.6296, 0.7970, 0.2030)  7 Ho 3.20-3.50, 3 Nd 3.23-3.50
Nd (0.4571, 0.9444, 0.7183)  1 Sc 3.23, 6 Ho 3.29-3.58
Ho (0.0465, 0.7113, 0.6193)  4 Nd 3.39-3.71, 5 Ho 3.40-3.76
Ho (0.3702, 0.5377, 0.9577)  5 Ho 3.18-3.47, 2 Sc 3.20-3.50, 2 Nd 3.29-3.49
Ho (0.1349, 0.7230, 0.2770)  4 Ho 3.18-3.37, 2 Sc 3.39-3.45, 1 Nd 3.41
Ho (0.9052, 0.0461, 0.9539)  1 Sc 3.27, 4 Nd 3.53-3.58, 2 Ho 3.57
Nd (0.9571, 0.0556, 0.2817)  1 Sc 3.23, 6 Ho 3.29-3.58
Ho (0.0465, 0.3807, 0.2887)  4 Nd 3.39-3.71, 5 Ho 3.40-3.76
Sc (0.1296, 0.2030, 0.7970)  7 Ho 3.20-3.50, 3 Nd 3.23-3.50
Ho (0.3702, 0.0423, 0.4623)  5 Ho 3.18-3.47, 2 Sc 3.20-3.50, 2 Nd 3.29-3.49

Output
energy relative to the lowest polymorph listed for this composition: 0 meV/atom
symmetry: Cmc2_1 (36)


A plane-wave DFT calculation with PBE-GGA was carried out for crystalline Nd8HoSc3 at its relaxed geometry.

abc: 8.5974 8.5974 8.5974
angles: 95.85 102.09 133.52
Last column: nearest neighbours and their distance in Å.
Element x y z (fractional)
Ho (0.0000, 0.0000, 0.0000)  8 Nd 3.40-3.45
Nd (0.1641, 0.7479, 0.9122)  2 Sc 3.36-3.66, 1 Ho 3.40, 5 Nd 3.46-3.55
Nd (0.8359, 0.7481, 0.5838)  2 Sc 3.36-3.66, 1 Ho 3.40, 5 Nd 3.46-3.55
Nd (0.5104, 0.2232, 0.2871)  1 Sc 2.97, 1 Nd 3.03
Nd (0.0640, 0.7768, 0.2873)  1 Sc 2.97, 1 Nd 3.03
Nd (0.1643, 0.2521, 0.4162)  2 Sc 3.36-3.66, 1 Ho 3.40, 5 Nd 3.46-3.55
Nd (0.4895, 0.7767, 0.7127)  1 Sc 2.97, 1 Nd 3.03
Sc (0.5000, 0.7860, 0.2860)  10 Nd 3.66-3.85
Sc (0.5000, 0.2141, 0.7140)  10 Nd 3.66-3.85
Nd (0.9361, 0.2233, 0.7129)  1 Sc 2.97, 1 Nd 3.03
Sc (0.0000, 0.5000, 0.5000)  4 Nd 2.97
Nd (0.8357, 0.2519, 0.0878)  2 Sc 3.36-3.66, 1 Ho 3.40, 5 Nd 3.46-3.55

Output
symmetry: Immm (71)


no.,ΔH_f (0 K) (eV per formula unit)
1,0.46
2,0.70
3,0.47
4,1.80
5,1.48
6,4.81